1.
VASP calculation (PBE) on a relaxed structure of Ba2NaCu.

a = 4.5562 Å, b = 4.5562 Å, c = 34.8394 Å
α = 90.00°, β = 90.00°, γ = 120.00°
With the nearest neighbours (Å) after each atom.
Space group R-3m (No. 166, hexagonal axes)
Inequivalent atoms, fractional coordinates:
1 Ba 0.0000 0.0000 0.1148 [6 per cell]  3 Cu 3.19
2 Na 0.0000 0.0000 0.0000 [3 per cell]  2 Ba 4.00
3 Cu 0.0000 0.0000 0.5000 [3 per cell]  6 Ba 3.19

Its offset from the most stable computed form is 122.6 meV/atom. The formation energy comes out at 128 meV/atom.


2.
VASP calculation (PBE) on a relaxed structure of BaNa2Cu.

a = 8.0177 Å, b = 8.0177 Å, c = 8.0177 Å
α = 90.00°, β = 90.00°, γ = 90.00°
With the nearest neighbours (Å) after each atom.
Space group Fm-3m (No. 225)
Inequivalent atoms, fractional coordinates:
1 Ba 0.0000 0.0000 0.0000 [4 per cell]  8 Na 3.47
2 Na 0.2500 0.2500 0.2500 [8 per cell]  4 Ba 3.47, 4 Cu 3.47
3 Cu 0.0000 0.0000 0.5000 [4 per cell]  8 Na 3.47

Its offset from the most stable computed form is 106.4 meV/atom. The formation energy comes out at 288 meV/atom.


3.
VASP calculation (PBE) on a relaxed structure of Ba2NaCu.

a = 16.0656 Å, b = 4.4041 Å, c = 9.6940 Å
α = 90.00°, β = 96.31°, γ = 90.00°
With the nearest neighbours (Å) after each atom.
Space group C2/m (No. 12)
Inequivalent atoms, fractional coordinates:
1 Ba 0.0341 0.0000 0.2892 [4 per cell]  4 Cu 3.31-3.38
2 Ba 0.2200 0.0000 0.6740 [4 per cell]  2 Cu 3.32
3 Na 0.1328 0.5000 0.9717 [4 per cell]  7 Ba 3.95-4.23, 1 Cu 4.16, 5 Na 4.34-4.40
4 Cu 0.0781 0.5000 0.5420 [4 per cell]  1 Cu 2.55

Its offset from the most stable computed form is 0.0 meV/atom. The formation energy comes out at 6 meV/atom.


4.
VASP calculation (PBE) on a relaxed structure of Ba2NaCu.

a = 5.9713 Å, b = 5.9713 Å, c = 4.3704 Å
α = 90.00°, β = 90.00°, γ = 90.00°
With the nearest neighbours (Å) after each atom.
Space group P4/mmm (No. 123)
Inequivalent atoms, fractional coordinates:
1 Ba 0.0000 0.5000 0.0000 [2 per cell]  4 Na 3.70, 4 Cu 3.70
2 Na 0.0000 0.0000 0.5000 [1 per cell]  8 Ba 3.70
3 Cu 0.5000 0.5000 0.5000 [1 per cell]  8 Ba 3.70

Its offset from the most stable computed form is 128.8 meV/atom. The formation energy comes out at 135 meV/atom.


5.
VASP calculation (PBE) on a relaxed structure of Ba8Na2Cu.

a = 22.8996 Å, b = 4.6180 Å, c = 11.8482 Å
α = 90.00°, β = 100.38°, γ = 90.00°
With the nearest neighbours (Å) after each atom.
Space group C2/m (No. 12)
Inequivalent atoms, fractional coordinates:
1 Ba 0.0064 0.0000 0.1948 [4 per cell]  2 Cu 3.25
2 Ba 0.0926 0.5000 0.5454 [4 per cell]  2 Na 3.93, 1 Ba 4.18
3 Ba 0.1441 0.5000 0.0297 [4 per cell]  1 Cu 3.26
4 Ba 0.2072 0.0000 0.3532 [4 per cell]  2 Na 3.95, 2 Ba 4.34
5 Na 0.1838 0.0000 0.7821 [4 per cell]  7 Ba 3.93-4.16
6 Cu 0.0000 0.5000 0.0000 [2 per cell]  6 Ba 3.25-3.26

The formation energy comes out at 38 meV/atom.


6.
VASP calculation (PBE) on a relaxed structure of Ba4NaCu2.

a = 4.4932 Å, b = 12.5139 Å, c = 23.3581 Å
α = 90.00°, β = 90.00°, γ = 90.00°
With the nearest neighbours (Å) after each atom.
Space group Cmcm (No. 63)
Inequivalent atoms, fractional coordinates:
1 Ba 0.0000 0.0000 0.0000 [4 per cell]  6 Cu 3.51-3.59
2 Ba 0.0000 0.2647 0.1188 [8 per cell]  3 Cu 3.16-3.33
3 Ba 0.0000 0.4466 0.7500 [4 per cell]  3 Na 3.49-3.56
4 Na 0.0000 0.1677 0.7500 [4 per cell]  7 Ba 3.49-3.89
5 Cu 0.0000 0.2786 0.5163 [8 per cell]  2 Cu 2.48

The formation energy comes out at 92 meV/atom.


7.
VASP calculation (PBE) on a relaxed structure of BaNaCu4.

a = 7.6943 Å, b = 7.6943 Å, c = 7.6943 Å
α = 90.00°, β = 90.00°, γ = 90.00°
With the nearest neighbours (Å) after each atom.
Space group F-43m (No. 216)
Inequivalent atoms, fractional coordinates:
1 Ba 0.0000 0.0000 0.0000 [4 per cell]  12 Cu 3.20, 4 Na 3.33
2 Na 0.2500 0.2500 0.2500 [4 per cell]  12 Cu 3.18, 4 Ba 3.33
3 Cu 0.1208 0.1208 0.6208 [16 per cell]  6 Cu 2.63-2.81

The formation energy comes out at 148 meV/atom.


8.
VASP calculation (PBE) on a relaxed structure of Ba3NaCu2O6.

a = 6.1159 Å, b = 6.1159 Å, c = 6.9721 Å
α = 90.00°, β = 90.00°, γ = 120.00°
With the nearest neighbours (Å) after each atom.
Space group P-3m1 (No. 164)
Inequivalent atoms, fractional coordinates:
1 Ba 0.0000 0.0000 0.0000 [1 per cell]  6 O 2.67
2 Ba 0.3333 0.6667 0.6526 [2 per cell]  1 Cu 3.05, 9 O 3.09-3.10
3 Na 0.0000 0.0000 0.5000 [1 per cell]  6 O 2.33
4 Cu 0.3333 0.6667 0.2153 [2 per cell]  3 O 1.81
5 O 0.1685 0.3369 0.2855 [6 per cell]  1 Cu 1.81

The value obtained for the uncorrected formation energy is -1764 kJ/mol of formula units.


9.
VASP calculation (PBE) on a relaxed structure of Ba2NaCuO.

a = 5.4724 Å, b = 5.4724 Å, c = 4.6797 Å
α = 90.00°, β = 90.00°, γ = 90.00°
With the nearest neighbours (Å) after each atom.
Space group P4/mmm (No. 123)
Inequivalent atoms, fractional coordinates:
1 Ba 0.0000 0.5000 0.0000 [2 per cell]  2 O 2.74
2 Na 0.0000 0.0000 0.5000 [1 per cell]  2 O 2.34
3 Cu 0.5000 0.5000 0.5000 [1 per cell]  8 Ba 3.60, 4 Na 3.87
4 O 0.0000 0.0000 0.0000 [1 per cell]  2 Na 2.34

The value obtained for the uncorrected formation energy is -402 kJ/mol of formula units.


10.
VASP calculation (PBE) on a relaxed structure of Ba2NaCu3O6.

a = 8.4897 Å, b = 11.5190 Å, c = 14.6346 Å
α = 90.00°, β = 90.00°, γ = 90.00°
With the nearest neighbours (Å) after each atom.
Space group Fmmm (No. 69)
Inequivalent atoms, fractional coordinates:
1 Ba 0.0000 0.2318 0.0000 [8 per cell]  10 O 2.84-3.18
2 Ba 0.2500 0.2500 0.2500 [8 per cell]  8 O 2.77-2.82
3 Na 0.0000 0.0000 0.3308 [8 per cell]  6 O 2.43-2.48
4 Cu 0.1513 0.0000 0.1481 [16 per cell]  4 O 1.95-1.96
5 Cu 0.1905 0.0000 0.5000 [8 per cell]  4 O 1.88
6 O 0.0000 0.1164 0.1886 [16 per cell]  2 Cu 1.95
7 O 0.2036 0.1123 0.4069 [32 per cell]  2 Cu 1.88-1.96

Its offset from the most stable computed form is 0.0 meV/atom. The value obtained for the uncorrected formation energy is -1659 kJ/mol of formula units.


11.
VASP calculation (PBE) on a relaxed structure of Ba2NaCu3O6.

a = 3.8021 Å, b = 3.8021 Å, c = 12.6654 Å
α = 90.00°, β = 90.00°, γ = 90.00°
With the nearest neighbours (Å) after each atom.
Space group P4/mmm (No. 123)
Inequivalent atoms, fractional coordinates:
1 Ba 0.0000 0.0000 0.2072 [2 per cell]  8 O 2.76-2.82
2 Na 0.0000 0.0000 0.5000 [1 per cell]  8 O 2.55
3 Cu 0.5000 0.5000 0.0000 [1 per cell]  2 O 1.77
4 Cu 0.5000 0.5000 0.3845 [2 per cell]  4 O 1.92
5 O 0.0000 0.5000 0.3657 [4 per cell]  2 Cu 1.92
6 O 0.5000 0.5000 0.1394 [2 per cell]  1 Cu 1.77

Its offset from the most stable computed form is 99.1 meV/atom. The value obtained for the uncorrected formation energy is -1545 kJ/mol of formula units.